VASP calculation (PBE+U) on a geometry-optimized GeMoF2 structure.

Results
The total magnetic moment is 4.21 μB/cell. The relative energy among the computed polymorphs is 0.0 meV/atom. Its space-group type is I-42d (122).

Cell and atoms, written as CIF:
```
data_GeMoF2
_chemical_formula_sum 'Ge2 Mo2 F4'
_symmetry_space_group_name_H-M 'P 1'
_symmetry_Int_Tables_number 1
_cell_length_a 5.7992
_cell_length_b 5.7992
_cell_length_c 5.7992
_cell_angle_alpha 102.28
_cell_angle_beta 102.28
_cell_angle_gamma 125.07
loop_
_symmetry_equiv_pos_as_xyz
'x,y,z'
loop_
_atom_site_label
_atom_site_fract_x
_atom_site_fract_y
_atom_site_fract_z
Ge1 0.0000 0.0000 0.0000
Ge2 0.7500 0.2500 0.5000
Mo1 0.2500 0.7500 0.5000
Mo2 0.5000 0.5000 0.0000
F1 0.2361 0.1250 0.6111
F2 0.3750 0.7639 0.8889
F3 0.5139 0.6250 0.3889
F4 0.8750 0.4861 0.1111
```

VASP calculation (PBE+U) on a geometry-optimized NiBiAs2O8 structure.

Results
The total magnetic moment is 1.06 μB/cell. Its space-group type is P-3m1 (164). The value obtained for the total energy is -67.63 eV per formula unit.

Cell and atoms, written as CIF:
```
data_NiBiAs2O8
_chemical_formula_sum 'Ni1 Bi1 As2 O8'
_symmetry_space_group_name_H-M 'P 1'
_symmetry_Int_Tables_number 1
_cell_length_a 5.5089
_cell_length_b 5.5089
_cell_length_c 6.5852
_cell_angle_alpha 90.00
_cell_angle_beta 90.00
_cell_angle_gamma 120.00
loop_
_symmetry_equiv_pos_as_xyz
'x,y,z'
loop_
_atom_site_label
_atom_site_fract_x
_atom_site_fract_y
_atom_site_fract_z
Ni1 0.0000 0.0000 0.0000
Bi1 0.0000 0.0000 0.5000
As1 0.3333 0.6667 0.7224
As2 0.6667 0.3333 0.2776
O1 0.1595 0.3190 0.7913
O2 0.1595 0.8405 0.7913
O3 0.3190 0.1595 0.2087
O4 0.3333 0.6667 0.4626
O5 0.6667 0.3333 0.5374
O6 0.6810 0.8405 0.7913
O7 0.8405 0.1595 0.2087
O8 0.8405 0.6810 0.2087
```